The following is a DFT calculation (PBE) of SrSiSb2 after structural relaxation.

Geometry as POSCAR:
```
SrSiSb2
1.0
-1.552 -3.039 -4.875
2.323 -3.007 -4.579
-0.024 -5.670 0.924
Sb Si Sr
2 1 1
Cartesian
-0.008 -5.218 0.669 Sb
0.577 -8.836 -6.602 Sb
0.355 -6.297 -3.974 Si
0.174 -2.894 -1.965 Sr
```

Properties
Uncorrected formation energy   -250 meV/atom
Fermi-level density of states   1.76 states/eV/cell